Run i
The following is a DFT calculation (GGA-PBE) of a geometry-optimized LuMgCoBi structure.

Summary:
spin magnetization	0.29	μB per formula unit
SG	No. 216

Cell: 4.8528 4.8528 4.8528 Å, 60.00 60.00 60.00°
Fractional coordinates of all 4 atoms:
Bi 0.0000 0.0000 0.0000
Co 0.7500 0.7500 0.7500
Lu 0.5000 0.5000 0.5000
Mg 0.2500 0.2500 0.2500



Run ii
The following is a DFT calculation (GGA-PBE) of a geometry-optimized LuMgCoBi structure.

Summary:
spin magnetization	0.89	μB per formula unit
SG	No. 216

Cell: 4.8849 4.8849 4.8849 Å, 60.00 60.00 60.00°
Fractional coordinates of all 4 atoms:
Bi 0.0000 0.0000 0.0000
Co 0.7500 0.7500 0.7500
Lu 0.2500 0.2500 0.2500
Mg 0.5000 0.5000 0.5000



The structure with the least stability is run ii.



Run i
The following is a DFT calculation (GGA-PBE) of a geometry-optimized LuCoBiMo structure.

Summary:
spin magnetization	0.89	μB per formula unit
SG	No. 216

Cell: 4.7159 4.7159 4.7159 Å, 60.00 60.00 60.00°
Fractional coordinates of all 4 atoms:
Bi 0.0000 0.0000 0.0000
Co 0.7500 0.7500 0.7500
Lu 0.5000 0.5000 0.5000
Mo 0.2500 0.2500 0.2500



Run ii
The following is a DFT calculation (GGA-PBE) of a geometry-optimized LuCoBiMo structure.

Summary:
spin magnetization	4.24	μB per formula unit
SG	No. 216

Cell: 4.7912 4.7912 4.7912 Å, 60.00 60.00 60.00°
Fractional coordinates of all 4 atoms:
Bi 0.0000 0.0000 0.0000
Co 0.7500 0.7500 0.7500
Lu 0.2500 0.2500 0.2500
Mo 0.5000 0.5000 0.5000



The structure with the least stability is run ii.



Run i
The following is a DFT calculation (GGA-PBE) of a geometry-optimized LuCoNiBi structure.

Summary:
spin magnetization	1.36	μB per formula unit
SG	No. 216

Cell: 4.7168 4.7168 4.7168 Å, 60.00 60.00 60.00°
Fractional coordinates of all 4 atoms:
Bi 0.0000 0.0000 0.0000
Co 0.5000 0.5000 0.5000
Lu 0.2500 0.2500 0.2500
Ni 0.7500 0.7500 0.7500



Run ii
The following is a DFT calculation (GGA-PBE) of a geometry-optimized LuCoNiBi structure.

Summary:
spin magnetization	0.10	μB per formula unit
SG	No. 216

Cell: 4.6908 4.6908 4.6908 Å, 60.00 60.00 60.00°
Fractional coordinates of all 4 atoms:
Bi 0.0000 0.0000 0.0000
Co 0.7500 0.7500 0.7500
Lu 0.2500 0.2500 0.2500
Ni 0.5000 0.5000 0.5000



The structure with the least stability is run i.